GaPb5: relaxed, PBE.

The electronic total energy is -21.30 eV/f.u. The total magnetic moment comes out at 0.00 μB per formula unit. As for the energy above the most stable polymorph in this dataset: 0 kJ/mol of formula units. The calculation puts the calculated formation energy at 0.046 eV per atom.

The space group is Cmmm (No. 65) and the conventional cell measures 5.208, 14.783 and 4.664 Å, with angles of 90.00, 90.00 and 90.00 degrees. Symmetry generates all atoms from Ga at (0.000, 0.000, 0.000), Pb at (0.000, 0.157, 0.500), Pb at (0.000, 0.334, 0.000) and Pb at (0.000, 0.500, 0.500).